Record 1
AcLa8Tm5 after structural relaxation, computed with GGA-PBE.

abc: 8.580 8.582 8.932
angles: 117.41 113.67 95.90
Space group P1 (No. 1)
Symmetry-distinct sites (fractional):
Ac: 0.000 0.000 0.000 (multiplicity 1)
La: 0.094 0.701 0.216 (multiplicity 1)
La: 0.131 0.972 0.689 (multiplicity 1)
La: 0.285 0.441 0.311 (multiplicity 1)
La: 0.335 0.592 0.945 (multiplicity 1)
La: 0.486 0.876 0.783 (multiplicity 1)
La: 0.648 0.389 0.055 (multiplicity 1)
La: 0.690 0.543 0.695 (multiplicity 1)
La: 0.849 0.993 0.304 (multiplicity 1)
Tm: 0.333 0.186 0.540 (multiplicity 1)
Tm: 0.504 0.125 0.246 (multiplicity 1)
Tm: 0.647 0.792 0.459 (multiplicity 1)
Tm: 0.880 0.257 0.754 (multiplicity 1)
Tm: 0.976 0.475 0.500 (multiplicity 1)

Output
Fermi-level density of states in states/eV/cell: 20.591
E_tot in eV/atom: -4.5270
Magnetic moment in μB/f.u.: 0.0
Density in Mg/m³: 7.25

=====

Record 2
Na3BeCr after structural relaxation, computed with GGA-PBE.

abc: 5.275 5.275 5.275
angles: 90.00 90.00 90.00
Space group Pm-3m (No. 221)
Symmetry-distinct sites (fractional):
Na: 0.000 0.000 0.500 (multiplicity 3)
Be: 0.000 0.000 0.000 (multiplicity 1)
Cr: 0.500 0.500 0.500 (multiplicity 1)

Output
Fermi-level density of states in states/eV/cell: 2.956
E_tot in eV/atom: -2.4277
Magnetic moment in μB/f.u.: 5.0
Density in Mg/m³: 1.47

=====

Record 3
AcMgZn4Ag2 after structural relaxation, computed with GGA-PBE.

abc: 4.4996 4.4996 28.2991
angles: 90.00 90.00 120.00
Space group R-3m (No. 166, hexagonal axes)
Symmetry-distinct sites (fractional):
Ac: 0.0000 0.0000 0.0000 (multiplicity 3)
Mg: 0.0000 0.0000 0.5000 (multiplicity 3)
Zn: 0.0000 0.0000 0.1237 (multiplicity 6)
Zn: 0.0000 0.0000 0.4028 (multiplicity 6)
Ag: 0.0000 0.0000 0.2311 (multiplicity 6)

Output
Fermi-level density of states in states/eV/cell: 20.154
E_tot in eV/atom: -2.2105
Magnetic moment in μB/f.u.: 0.0
Density in Mg/m³: 7.32

=====

| no. | formation energy (eV per atom) |
| --- | --- |
| 1 | 0.18 |
| 2 | 1.03 |
| 3 | -0.15 |